Arrangement P

Material: TbPbNO
Method: DFT, PBE
State: relaxed

Cell lengths 3.8666, 6.2720, 6.4502 Å; angles 90.00, 90.00, 90.00 degrees
Last column: nearest neighbours and their distance in Å.
Atoms (fractional coordinates):
1 Tb 0.0000 0.1874 0.0000  2 O 2.15-2.18, 2 N 2.29
2 Tb 0.0000 0.8126 0.5000  2 O 2.15-2.18, 2 N 2.29
3 Pb 0.5000 0.2988 0.4705  1 N 2.22
4 Pb 0.5000 0.7012 0.9705  1 N 2.22
5 N 0.5000 0.3645 0.0779  1 Pb 2.22, 2 Tb 2.29
6 N 0.5000 0.6355 0.5779  1 Pb 2.22, 2 Tb 2.29
7 O 0.0000 0.1091 0.6751  2 Tb 2.15-2.18
8 O 0.0000 0.8909 0.1751  2 Tb 2.15-2.18

Properties
**Crystal system**: orthorhombic

***

Arrangement Q

Material: TbPbNO
Method: DFT, PBE
State: relaxed

Cell lengths 4.5243, 4.5243, 7.8531 Å; angles 90.00, 90.00, 90.00 degrees
Last column: nearest neighbours and their distance in Å.
Atoms (fractional coordinates):
1 Tb 0.2500 0.2500 0.0888  1 N 2.16, 4 O 2.37
2 Tb 0.7500 0.7500 0.9112  1 N 2.16, 4 O 2.37
3 Pb 0.2500 0.7500 0.5000  4 N 2.50
4 Pb 0.7500 0.2500 0.5000  4 N 2.50
5 N 0.2500 0.2500 0.3639  1 Tb 2.16
6 N 0.7500 0.7500 0.6361  1 Tb 2.16
7 O 0.2500 0.7500 0.0000  4 Tb 2.37
8 O 0.7500 0.2500 0.0000  4 Tb 2.37

Properties
**Crystal system**: tetragonal

***

Arrangement R

Material: TbPbNO
Method: DFT, PBE
State: relaxed

Cell lengths 5.7879, 8.3634, 5.7341 Å; angles 90.00, 90.00, 90.00 degrees
Last column: nearest neighbours and their distance in Å.
Atoms (fractional coordinates):
1 Tb 0.0053 0.1206 0.0000  4 O 2.26-2.29, 1 N 2.28
2 Tb 0.4947 0.1206 0.5000  4 O 2.26-2.29, 1 N 2.28
3 Tb 0.5053 0.8794 0.0000  4 O 2.26-2.29, 1 N 2.28
4 Tb 0.9947 0.8794 0.5000  4 O 2.26-2.29, 1 N 2.28
5 Pb 0.0184 0.6314 0.9972  3 N 2.25-2.38
6 Pb 0.4816 0.6314 0.4972  3 N 2.25-2.38
7 Pb 0.5184 0.3686 0.9972  3 N 2.25-2.38
8 Pb 0.9816 0.3686 0.4972  3 N 2.25-2.38
9 N 0.0849 0.6206 0.5881  3 Pb 2.25-2.38, 1 Tb 2.28
10 N 0.4151 0.6206 0.0881  3 Pb 2.25-2.38, 1 Tb 2.28
11 N 0.5849 0.3794 0.5881  3 Pb 2.25-2.38, 1 Tb 2.28
12 N 0.9151 0.3794 0.0881  3 Pb 2.25-2.38, 1 Tb 2.28
13 O 0.2472 0.9941 0.2478  4 Tb 2.26-2.29
14 O 0.2528 0.9941 0.7478  4 Tb 2.26-2.29
15 O 0.7472 0.0059 0.2478  4 Tb 2.26-2.29
16 O 0.7528 0.0059 0.7478  4 Tb 2.26-2.29

Properties
**Crystal system**: orthorhombic

***

Pick arrangement R: it beats the second-best structure by 235 meV per atom.

***

Arrangement P

Material: ZrPbNO
Method: DFT, PBE
State: relaxed

Cell lengths 4.1580, 4.1580, 8.7301 Å; angles 90.00, 90.00, 90.00 degrees
Last column: nearest neighbours and their distance in Å.
Atoms (fractional coordinates):
1 Zr 0.2500 0.7500 0.0000  4 N 2.18
2 Zr 0.7500 0.2500 0.0000  4 N 2.18
3 Pb 0.2500 0.2500 0.3702  4 O 2.37
4 Pb 0.7500 0.7500 0.6298  4 O 2.37
5 N 0.2500 0.2500 0.9246  4 Zr 2.18
6 N 0.7500 0.7500 0.0754  4 Zr 2.18
7 O 0.2500 0.7500 0.5000  4 Pb 2.37
8 O 0.7500 0.2500 0.5000  4 Pb 2.37

Properties
**Crystal system**: tetragonal

***

Arrangement Q

Material: ZrPbNO
Method: DFT, PBE
State: relaxed

Cell lengths 4.4122, 4.4122, 7.6312 Å; angles 90.00, 90.00, 90.00 degrees
Last column: nearest neighbours and their distance in Å.
Atoms (fractional coordinates):
1 Zr 0.2500 0.2500 0.0641  1 N 1.94
2 Zr 0.7500 0.7500 0.9359  1 N 1.94
3 Pb 0.2500 0.7500 0.5000  4 N 2.61
4 Pb 0.7500 0.2500 0.5000  4 N 2.61
5 N 0.2500 0.2500 0.3180  1 Zr 1.94
6 N 0.7500 0.7500 0.6820  1 Zr 1.94
7 O 0.2500 0.7500 0.0000  4 Zr 2.26
8 O 0.7500 0.2500 0.0000  4 Zr 2.26

Properties
**Crystal system**: tetragonal

***

Arrangement R

Material: ZrPbNO
Method: DFT, PBE
State: relaxed

Cell lengths 3.6430, 7.3263, 5.5187 Å; angles 90.00, 90.00, 90.00 degrees
Last column: nearest neighbours and their distance in Å.
Atoms (fractional coordinates):
1 Zr 0.0000 0.1358 0.0000  2 O 2.04, 2 N 2.04-2.08
2 Zr 0.0000 0.8642 0.5000  2 O 2.04, 2 N 2.04-2.08
3 Pb 0.5000 0.3751 0.4577  2 N 2.61, 1 O 2.61
4 Pb 0.5000 0.6249 0.9577  2 N 2.61, 1 O 2.61
5 N 0.0000 0.1272 0.3761  2 Zr 2.04-2.08
6 N 0.0000 0.8728 0.8761  2 Zr 2.04-2.08
7 O 0.5000 0.2268 0.8880  2 Zr 2.04
8 O 0.5000 0.7732 0.3880  2 Zr 2.04

Properties
**Crystal system**: orthorhombic

***

Arrangement S

Material: ZrPbNO
Method: DFT, PBE
State: relaxed

Cell lengths 5.7214, 8.0532, 5.6436 Å; angles 90.00, 90.00, 90.00 degrees
Last column: nearest neighbours and their distance in Å.
Atoms (fractional coordinates):
1 Zr 0.0679 0.1405 0.0000  1 N 2.07, 3 O 2.07-2.19
2 Zr 0.4321 0.1405 0.5000  1 N 2.07, 3 O 2.07-2.19
3 Zr 0.5679 0.8595 0.0000  1 N 2.07, 3 O 2.07-2.19
4 Zr 0.9321 0.8595 0.5000  1 N 2.07, 3 O 2.07-2.19
5 Pb 0.0076 0.6422 0.9951  2 N 2.26-2.31
6 Pb 0.4924 0.6422 0.4951  2 N 2.26-2.31
7 Pb 0.5076 0.3578 0.9951  2 N 2.26-2.31
8 Pb 0.9924 0.3578 0.4951  2 N 2.26-2.31
9 N 0.0895 0.6292 0.4692  1 Zr 2.07, 2 Pb 2.26-2.31
10 N 0.4105 0.6292 0.9692  1 Zr 2.07, 2 Pb 2.26-2.31
11 N 0.5895 0.3708 0.4692  1 Zr 2.07, 2 Pb 2.26-2.31
12 N 0.9105 0.3708 0.9692  1 Zr 2.07, 2 Pb 2.26-2.31
13 O 0.1753 0.9915 0.6956  3 Zr 2.07-2.19
14 O 0.3247 0.9915 0.1956  3 Zr 2.07-2.19
15 O 0.6753 0.0085 0.6956  3 Zr 2.07-2.19
16 O 0.8247 0.0085 0.1956  3 Zr 2.07-2.19

Properties
**Crystal system**: orthorhombic

***

Pick arrangement R: it beats the second-best structure by 186 meV per atom.

***

Arrangement P

Material: PdPtNO
Method: DFT, PBE
State: relaxed

Cell lengths 4.0136, 4.0136, 6.2296 Å; angles 90.00, 90.00, 90.00 degrees
Last column: nearest neighbours and their distance in Å.
Atoms (fractional coordinates):
1 Pd 0.2500 0.2500 0.0973  4 O 2.10
2 Pd 0.7500 0.7500 0.9027  4 O 2.10
3 Pt 0.2500 0.7500 0.5000  4 N 2.13
4 Pt 0.7500 0.2500 0.5000  4 N 2.13
5 N 0.2500 0.2500 0.6145  4 Pt 2.13
6 N 0.7500 0.7500 0.3855  4 Pt 2.13
7 O 0.2500 0.7500 0.0000  4 Pd 2.10
8 O 0.7500 0.2500 0.0000  4 Pd 2.10

Properties
**Crystal system**: tetragonal

***

Arrangement Q

Material: PdPtNO
Method: DFT, PBE
State: relaxed

Cell lengths 3.0916, 5.6444, 5.9206 Å; angles 90.00, 90.00, 90.00 degrees
Last column: nearest neighbours and their distance in Å.
Atoms (fractional coordinates):
1 Pd 0.0000 0.1898 0.0000  2 N 2.06, 2 O 2.12-2.24
2 Pd 0.0000 0.8102 0.5000  2 N 2.06, 2 O 2.12-2.24
3 Pt 0.5000 0.4155 0.4801  2 N 1.96-1.98, 2 O 2.19
4 Pt 0.5000 0.5845 0.9801  2 N 1.96-1.98, 2 O 2.19
5 N 0.5000 0.2966 0.7939  2 Pt 1.96-1.98, 2 Pd 2.06
6 N 0.5000 0.7034 0.2939  2 Pt 1.96-1.98, 2 Pd 2.06
7 O 0.0000 0.1637 0.3778  2 Pd 2.12-2.24, 2 Pt 2.19
8 O 0.0000 0.8363 0.8778  2 Pd 2.12-2.24, 2 Pt 2.19

Properties
**Crystal system**: orthorhombic

***

Pick arrangement Q: it beats the second-best structure by 242 meV per atom.

***

Arrangement P

Material: PdPtNO
Method: DFT, PBE
State: relaxed

Cell lengths 3.9630, 3.9630, 6.4202 Å; angles 90.00, 90.00, 90.00 degrees
Last column: nearest neighbours and their distance in Å.
Atoms (fractional coordinates):
1 Pd 0.2500 0.7500 0.0000  4 N 2.11
2 Pd 0.7500 0.2500 0.0000  4 N 2.11
3 Pt 0.2500 0.2500 0.4041  4 O 2.07
4 Pt 0.7500 0.7500 0.5959  4 O 2.07
5 N 0.2500 0.2500 0.8855  4 Pd 2.11
6 N 0.7500 0.7500 0.1145  4 Pd 2.11
7 O 0.2500 0.7500 0.5000  4 Pt 2.07
8 O 0.7500 0.2500 0.5000  4 Pt 2.07

Properties
**Crystal system**: tetragonal

***

Arrangement Q

Material: PdPtNO
Method: DFT, PBE
State: relaxed

Cell lengths 2.9378, 5.8287, 5.9396 Å; angles 90.00, 90.00, 90.00 degrees
Last column: nearest neighbours and their distance in Å.
Atoms (fractional coordinates):
1 Pd 0.0000 0.0775 0.0000  2 N 2.00-2.02
2 Pd 0.0000 0.9225 0.5000  2 N 2.00-2.02
3 Pt 0.5000 0.3162 0.4824  2 N 2.01, 2 O 2.07-2.13
4 Pt 0.5000 0.6838 0.9824  2 N 2.01, 2 O 2.07-2.13
5 N 0.0000 0.2095 0.6892  2 Pd 2.00-2.02, 2 Pt 2.01
6 N 0.0000 0.7905 0.1892  2 Pd 2.00-2.02, 2 Pt 2.01
7 O 0.5000 0.3526 0.1351  2 Pt 2.07-2.13, 2 Pd 2.32
8 O 0.5000 0.6474 0.6351  2 Pt 2.07-2.13, 2 Pd 2.32

Properties
**Crystal system**: orthorhombic

***

Pick arrangement Q: it beats the second-best structure by 361 meV per atom.